(1)
## Nd2Ho2CI4Cl (PBE-GGA)

Data for a geometry-optimized Nd2Ho2CI4Cl structure.

- Final energy: -4.80 eV/atom

abc: 19.6135 3.9716 8.3084
angles: 90.00 101.73 90.00
Space group C2/m (No. 12)
One atom of each set of equivalent atoms:
Nd  0.0017  0.0000  0.2894 [4 per cell]
Ho  0.1247  0.5000  0.5653 [4 per cell]
C  0.0000  0.5000  0.5000 [2 per cell]
I  0.1635  0.0000  0.8458 [4 per cell]
I  0.1696  0.0000  0.3269 [4 per cell]
Cl  0.0000  0.5000  0.0000 [2 per cell]


(2)
## Nd2Ho2CI3Cl2 (PBE-GGA)

Data for a geometry-optimized Nd2Ho2CI3Cl2 structure.

- Final energy: -4.96 eV/atom

abc: 17.6911 3.9699 8.9178
angles: 90.00 102.64 90.00
Space group C2/m (No. 12)
One atom of each set of equivalent atoms:
Nd  0.0040  0.0000  0.3074 [4 per cell]
Ho  0.1384  0.5000  0.5650 [4 per cell]
C  0.0000  0.5000  0.5000 [2 per cell]
I  0.0000  0.5000  0.0000 [2 per cell]
I  0.1778  0.0000  0.8275 [4 per cell]
Cl  0.1734  0.0000  0.3769 [4 per cell]


(3)
## Nd2Ho2CI3Cl2 (PBE-GGA)

Data for a geometry-optimized Nd2Ho2CI3Cl2 structure.

- Final energy: -4.96 eV/atom

abc: 18.6186 3.9197 8.4567
angles: 90.00 101.42 90.00
Space group C2/m (No. 12)
One atom of each set of equivalent atoms:
Nd  0.1378  0.0000  0.0738 [4 per cell]
Ho  0.0021  0.5000  0.8101 [4 per cell]
C  0.0000  0.0000  0.0000 [2 per cell]
I  0.0000  0.0000  0.5000 [2 per cell]
I  0.1706  0.5000  0.8008 [4 per cell]
Cl  0.1442  0.5000  0.3195 [4 per cell]


(4)
## Nd2Ho2CI4Cl (PBE-GGA)

Data for a geometry-optimized Nd2Ho2CI4Cl structure.

- Final energy: -4.76 eV/atom

abc: 19.0963 3.9352 8.4089
angles: 90.00 102.62 90.00
Space group C2/m (No. 12)
One atom of each set of equivalent atoms:
Nd  0.1348  0.0000  0.0711 [4 per cell]
Ho  0.0014  0.5000  0.8033 [4 per cell]
C  0.0000  0.0000  0.0000 [2 per cell]
I  0.1587  0.5000  0.3643 [4 per cell]
I  0.1666  0.5000  0.8057 [4 per cell]
Cl  0.0000  0.0000  0.5000 [2 per cell]